Density functional theory data (PBE-GGA) for crystalline KZnAgHg2 at its relaxed geometry.

The structure in CIF format:
```
data_KZnAgHg2
_symmetry_space_group_name_H-M 'P 1'
_symmetry_Int_Tables_number 1
_symmetry_space_group_name_Hall 'P 1'
_cell_length_a 5.3329
_cell_length_b 5.1660
_cell_length_c 5.3329
_cell_angle_alpha 90.00
_cell_angle_beta 90.00
_cell_angle_gamma 90.00
loop_
_atom_site_label
_atom_site_fract_x
_atom_site_fract_y
_atom_site_fract_z
Hg1 0.5000 0.0000 0.0000
Hg2 0.0000 0.0000 0.5000
K1 0.5000 0.5000 0.5000
Ag1 0.0000 0.5000 0.0000
Zn1 0.0000 0.0000 0.0000
```

## Properties
- formation energy (eV per atom) = -0.017
- magnetic moment (Bohr magnetons per cell) = 0.0
- relative energy among the computed polymorphs (meV per atom) = 0
- space-group type = P4/mmm (123)


Density functional theory data (PBE-GGA) for crystalline KGePCO7 at its relaxed geometry.

The structure in CIF format:
```
data_KGePCO7
_symmetry_space_group_name_H-M 'P 1'
_symmetry_Int_Tables_number 1
_symmetry_space_group_name_Hall 'P 1'
_cell_length_a 6.2296
_cell_length_b 4.9996
_cell_length_c 10.1082
_cell_angle_alpha 69.87
_cell_angle_beta 90.00
_cell_angle_gamma 90.00
loop_
_atom_site_label
_atom_site_fract_x
_atom_site_fract_y
_atom_site_fract_z
O1 0.7345 0.1652 0.4250
O2 0.2361 0.3128 0.7890
O3 0.7315 0.9645 0.9775
O4 0.2344 0.8480 0.8455
O5 0.2324 0.4328 0.4811
O6 0.9261 0.1077 0.6581
O7 0.7344 0.1520 0.1545
O8 0.2315 0.0355 0.0225
O9 0.7361 0.6872 0.2110
O10 0.0396 0.8915 0.3428
O11 0.7324 0.5672 0.5189
O12 0.5396 0.1085 0.6573
O13 0.4261 0.8923 0.3419
O14 0.2345 0.8348 0.5750
C1 0.7336 0.9366 0.1040
C2 0.2336 0.0634 0.8960
Ge1 0.2313 0.1212 0.6528
Ge2 0.7313 0.8788 0.3472
K1 0.6693 0.5632 0.8489
K2 0.1693 0.4368 0.1511
P1 0.7334 0.2359 0.5612
P2 0.2334 0.7641 0.4388
```

## Properties
- magnetic moment (Bohr magnetons per cell) = 0.1
- relative energy among the computed polymorphs (meV per atom) = 0
- space-group type = P2_1 (4)
- uncorrected formation energy (meV/atom) = -1826


Density functional theory data (PBE-GGA) for crystalline DyPuTlCl6 at its relaxed geometry.

The structure in CIF format:
```
data_DyPuTlCl6
_symmetry_space_group_name_H-M 'P 1'
_symmetry_Int_Tables_number 1
_symmetry_space_group_name_Hall 'P 1'
_cell_length_a 7.1792
_cell_length_b 7.1792
_cell_length_c 13.9513
_cell_angle_alpha 90.00
_cell_angle_beta 90.00
_cell_angle_gamma 120.00
loop_
_atom_site_label
_atom_site_fract_x
_atom_site_fract_y
_atom_site_fract_z
Cl1 0.6232 0.6410 0.6397
Cl2 0.0177 0.6410 0.8603
Cl3 0.3590 0.9823 0.6397
Cl4 0.6410 0.6232 0.1397
Cl5 0.3768 0.3590 0.3603
Cl6 0.3590 0.3768 0.8603
Cl7 0.6410 0.0177 0.3603
Cl8 0.0177 0.3768 0.6397
Cl9 0.9823 0.6232 0.3603
Cl10 0.9823 0.3590 0.1397
Cl11 0.3768 0.0177 0.1397
Cl12 0.6232 0.9823 0.8603
Dy1 0.6667 0.3333 0.2500
Dy2 0.3333 0.6667 0.7500
Tl1 0.0000 0.0000 0.5000
Tl2 0.0000 0.0000 0.0000
Pu1 0.6667 0.3333 0.7500
Pu2 0.3333 0.6667 0.2500
```

## Properties
- magnetic moment (Bohr magnetons per cell) = 12.0
- space-group type = P-31c (163)
- uncorrected formation energy (meV/atom) = -1844


Density functional theory data (PBE-GGA) for crystalline OsBr2 at its relaxed geometry.

The structure in CIF format:
```
data_OsBr2
_symmetry_space_group_name_H-M 'P 1'
_symmetry_Int_Tables_number 1
_symmetry_space_group_name_Hall 'P 1'
_cell_length_a 3.8304
_cell_length_b 3.8304
_cell_length_c 6.0397
_cell_angle_alpha 90.00
_cell_angle_beta 90.00
_cell_angle_gamma 120.00
loop_
_atom_site_label
_atom_site_fract_x
_atom_site_fract_y
_atom_site_fract_z
Os1 0.0000 0.0000 0.0000
Br1 0.6667 0.3333 0.7911
Br2 0.3333 0.6667 0.2089
```

## Properties
- magnetic moment (Bohr magnetons per cell) = 0.0
- relative energy among the computed polymorphs (meV per atom) = 94
- space-group type = P-3m1 (164)
- uncorrected formation energy (meV/atom) = 380


Density functional theory data (PBE-GGA) for crystalline Li7Tl4Ga at its relaxed geometry.

The structure in CIF format:
```
data_Li7Tl4Ga
_symmetry_space_group_name_H-M 'P 1'
_symmetry_Int_Tables_number 1
_symmetry_space_group_name_Hall 'P 1'
_cell_length_a 5.0807
_cell_length_b 8.1279
_cell_length_c 7.2863
_cell_angle_alpha 63.97
_cell_angle_beta 69.60
_cell_angle_gamma 71.79
loop_
_atom_site_label
_atom_site_fract_x
_atom_site_fract_y
_atom_site_fract_z
Tl1 0.4255 0.7219 0.4271
Tl2 0.5745 0.2781 0.5729
Tl3 0.6814 0.6453 0.9920
Tl4 0.3186 0.3547 0.0080
Li1 0.5000 0.0000 0.0000
Li2 0.0725 0.5866 0.2684
Li3 0.8016 0.8788 0.5181
Li4 0.2166 0.7596 0.8072
Li5 0.1984 0.1212 0.4819
Li6 0.9275 0.4134 0.7316
Li7 0.7834 0.2404 0.1928
Ga1 0.0000 0.0000 0.0000
```

## Properties
- formation energy (eV per atom) = -0.135
- magnetic moment (Bohr magnetons per cell) = 0.0
- space-group type = C2/m (12)


Density functional theory data (PBE-GGA) for crystalline CaPmP2 at its relaxed geometry.

The structure in CIF format:
```
data_CaPmP2
_symmetry_space_group_name_H-M 'P 1'
_symmetry_Int_Tables_number 1
_symmetry_space_group_name_Hall 'P 1'
_cell_length_a 4.1198
_cell_length_b 4.1198
_cell_length_c 7.3479
_cell_angle_alpha 73.72
_cell_angle_beta 73.72
_cell_angle_gamma 60.00
loop_
_atom_site_label
_atom_site_fract_x
_atom_site_fract_y
_atom_site_fract_z
Pm1 0.6694 0.6694 0.9918
Ca1 0.4964 0.4964 0.5109
P1 0.2536 0.2536 0.2393
P2 0.0807 0.0807 0.7580
```

## Properties
- formation energy (eV per atom) = -1.073
- magnetic moment (Bohr magnetons per cell) = 0.0
- relative energy among the computed polymorphs (meV per atom) = 77
- space-group type = R3m (160)


Density functional theory data (PBE-GGA) for crystalline KCd2In4 at its relaxed geometry.

The structure in CIF format:
```
data_KCd2In4
_symmetry_space_group_name_H-M 'P 1'
_symmetry_Int_Tables_number 1
_symmetry_space_group_name_Hall 'P 1'
_cell_length_a 5.7075
_cell_length_b 6.5374
_cell_length_c 6.5374
_cell_angle_alpha 79.01
_cell_angle_beta 64.12
_cell_angle_gamma 64.12
loop_
_atom_site_label
_atom_site_fract_x
_atom_site_fract_y
_atom_site_fract_z
Cd1 0.2500 0.5000 0.5000
Cd2 0.7500 0.5000 0.5000
K1 0.0000 0.0000 0.0000
In1 0.6912 0.0000 0.6176
In2 0.3088 0.0000 0.3824
In3 0.3088 0.3824 0.0000
In4 0.6912 0.6176 0.0000
```

## Properties
- formation energy (eV per atom) = -0.043
- magnetic moment (Bohr magnetons per cell) = 0.0
- space-group type = I4/mmm (139)


Density functional theory data (PBE-GGA) for crystalline Na2Hf2MgTe6 at its relaxed geometry.

The structure in CIF format:
```
data_Na2Hf2MgTe6
_symmetry_space_group_name_H-M 'P 1'
_symmetry_Int_Tables_number 1
_symmetry_space_group_name_Hall 'P 1'
_cell_length_a 7.2418
_cell_length_b 7.2418
_cell_length_c 8.0631
_cell_angle_alpha 98.55
_cell_angle_beta 98.55
_cell_angle_gamma 120.51
loop_
_atom_site_label
_atom_site_fract_x
_atom_site_fract_y
_atom_site_fract_z
Te1 0.7299 0.7299 0.7161
Te2 0.5851 0.9259 0.2809
Te3 0.4149 0.0741 0.7191
Te4 0.9259 0.5851 0.2809
Te5 0.0741 0.4149 0.7191
Te6 0.2701 0.2701 0.2839
Na1 0.8366 0.1634 0.0000
Na2 0.1634 0.8366 0.0000
Hf1 0.6680 0.3320 0.5000
Hf2 0.3320 0.6680 0.5000
Mg1 0.0000 0.0000 0.5000
```

## Properties
- magnetic moment (Bohr magnetons per cell) = 0.0
- space-group type = C2/m (12)
- uncorrected formation energy (meV/atom) = -861


Density functional theory data (PBE-GGA) for crystalline CsBS2 at its relaxed geometry.

The structure in CIF format:
```
data_CsBS2
_symmetry_space_group_name_H-M 'P 1'
_symmetry_Int_Tables_number 1
_symmetry_space_group_name_Hall 'P 1'
_cell_length_a 10.3172
_cell_length_b 10.3172
_cell_length_c 6.3146
_cell_angle_alpha 90.00
_cell_angle_beta 90.00
_cell_angle_gamma 161.48
loop_
_atom_site_label
_atom_site_fract_x
_atom_site_fract_y
_atom_site_fract_z
S1 0.9534 0.0466 0.2500
S2 0.6837 0.3163 0.7500
S3 0.0466 0.9534 0.7500
S4 0.3163 0.6837 0.2500
B1 0.5984 0.4016 0.7500
B2 0.4016 0.5984 0.2500
Cs1 0.1496 0.8504 0.2500
Cs2 0.8504 0.1496 0.7500
```

## Properties
- magnetic moment (Bohr magnetons per cell) = 0.0
- relative energy among the computed polymorphs (meV per atom) = 310
- space-group type = Cmcm (63)
- uncorrected formation energy (meV/atom) = -578